# K2ZrAl, single point on PBEsol structure, DFT meta-GGA SCAN
# * density of states at the Fermi level: 4.48 states/eV per cell
# * formation energy: 0.822 eV per atom
# * total moment: 0.247 μB/atom
# * crystal system: cubic
# * density: 2.9 g cm⁻³
data_K2ZrAl
_chemical_formula_sum 'K2 Zr1 Al1'
_cell_length_a 5.446
_cell_length_b 5.446
_cell_length_c 5.446
_cell_angle_alpha 60.00
_cell_angle_beta 60.00
_cell_angle_gamma 60.00
_symmetry_space_group_name_H-M 'P 1'
_symmetry_Int_Tables_number 1
loop_
_symmetry_equiv_pos_as_xyz
'x,y,z'
loop_
_atom_site_label
_atom_site_fract_x
_atom_site_fract_y
_atom_site_fract_z
K1 0.000 0.000 0.000
K2 0.750 0.750 0.750
Al1 0.500 0.500 0.500
Zr1 0.250 0.250 0.250